No. 1
DFT (PBE) results for a relaxed structure of BeHRh2.

abc: 5.4365 5.4365 5.4365
angles: 90.00 90.00 90.00
Last column: nearest neighbours and their distance in Å.
Space group Fm-3m (No. 225)
Unique sites:
1 Be 0.0000 0.0000 0.0000 [4 per cell]  8 Rh 2.35
2 H 0.0000 0.0000 0.5000 [4 per cell]  8 Rh 2.35
3 Rh 0.2500 0.2500 0.2500 [8 per cell]  4 H 2.35, 4 Be 2.35

Properties
The calculation puts the calculated volume at 161 Å³/cell. Its energy above the most stable polymorph in this dataset is 24.0 kJ/mol of atoms. The magnetization comes out at 0.00 μB/atom.

=====

No. 2
DFT (PBE) results for a relaxed structure of Ce2Si2Tc2B.

abc: 10.9888 4.1908 7.0091
angles: 90.00 128.11 90.00
Last column: nearest neighbours and their distance in Å.
Space group C2/m (No. 12)
Unique sites:
1 Ce 0.0731 0.0000 0.3048 [4 per cell]  2 B 2.74
2 Si 0.1420 0.5000 0.6897 [4 per cell]  3 Tc 2.45-2.48, 1 Si 2.56
3 Tc 0.2166 0.5000 0.0992 [4 per cell]  1 B 2.03
4 B 0.0000 0.5000 0.0000 [2 per cell]  2 Tc 2.03

Properties
The formation energy (no corrections) is -0.57 eV/atom. The calculation puts the calculated volume at 254 Å³/cell. The magnetization comes out at 0.10 μB/atom.

=====

No. 3
DFT (PBE) results for a relaxed structure of Mn2Te5Pd12.

abc: 13.3859 7.5241 7.5210
angles: 90.00 113.86 90.00
Last column: nearest neighbours and their distance in Å.
Space group C2/m (No. 12)
Unique sites:
1 Mn 0.0000 0.1914 0.0000 [4 per cell]  6 Pd 2.65-2.74, 1 Mn 2.88, 2 Te 2.90
2 Te 0.0000 0.5000 0.5000 [2 per cell]  10 Pd 2.73-2.99
3 Te 0.1886 0.0000 0.2708 [4 per cell]  5 Pd 2.70-2.99, 2 Mn 2.90
4 Te 0.2375 0.0000 0.8050 [4 per cell]  8 Pd 2.66-2.81
5 Pd 0.0230 0.0000 0.7093 [4 per cell]  2 Te 2.66-2.90, 2 Mn 2.74, 5 Pd 2.77-2.95
6 Pd 0.0627 0.5000 0.1962 [4 per cell]  2 Te 2.68-2.73, 2 Mn 2.70, 5 Pd 2.74-2.94
7 Pd 0.1417 0.2381 0.4945 [8 per cell]  4 Te 2.70-2.99, 4 Pd 2.77-2.87
8 Pd 0.1422 0.3144 0.8669 [8 per cell]  1 Mn 2.65, 2 Te 2.72-2.81, 5 Pd 2.79-2.94

Properties
The formation energy (no corrections) is -0.21 eV/atom. The calculation puts the calculated volume at 693 Å³/cell. The magnetization comes out at 0.47 μB/atom.

=====

No. 4
DFT (PBE) results for a relaxed structure of Tb4Bi3Sb.

abc: 6.3150 6.3150 6.3150
angles: 90.00 90.00 90.00
Last column: nearest neighbours and their distance in Å.
Space group Pm-3m (No. 221)
Unique sites:
1 Tb 0.0000 0.0000 0.0000 [1 per cell]  6 Bi 3.16
2 Tb 0.0000 0.5000 0.5000 [3 per cell]  4 Bi 3.16, 2 Sb 3.16
3 Bi 0.0000 0.0000 0.5000 [3 per cell]  6 Tb 3.16
4 Sb 0.5000 0.5000 0.5000 [1 per cell]  6 Tb 3.16

Properties
The formation energy (no corrections) is -0.95 eV/atom. The calculation puts the calculated volume at 252 Å³/cell. The magnetization comes out at 0.00 μB/atom.